*a*
PBE Ga2CuNi4, optimized geometry; magnetic moment = 0.000 μB/atom; space-group type = I4/mmm (139)
1.0
-2.2106 2.2106 4.8726
2.2106 -2.2106 4.8726
2.2106 2.2106 -4.8726
Ga Cu Ni
2 1 4
Direct
0.1395 0.1395 0.0000 Ga
0.8605 0.8605 0.0000 Ga
0.5000 0.5000 0.0000 Cu
0.0000 0.5000 0.5000 Ni
0.2500 0.7500 0.5000 Ni
0.5000 0.0000 0.5000 Ni
0.7500 0.2500 0.5000 Ni

*b*
PBE Ga2CuNi4, optimized geometry; magnetic moment = 0.000 μB/atom; space-group type = I4/mmm (139)
1.0
-1.6878 1.6878 8.2803
1.6878 -1.6878 8.2803
1.6878 1.6878 -8.2803
Ga Cu Ni
2 1 4
Direct
0.1176 0.1176 0.0000 Ga
0.8824 0.8824 0.0000 Ga
0.5000 0.5000 0.0000 Cu
0.2500 0.7500 0.5000 Ni
0.3573 0.3573 0.0000 Ni
0.6427 0.6427 0.0000 Ni
0.7500 0.2500 0.5000 Ni

Name the least stable of them. *a*.

*a*
PBE Ga4CuNi, optimized geometry; magnetic moment = 0.000 μB/atom; space-group type = C2/c (15)
1.0
4.0638 -5.3200 0.0000
4.0638 5.3200 0.0000
-2.8775 0.0000 4.3529
Ga Cu Ni
8 2 2
Direct
0.0495 0.6917 0.9101 Ga
0.2266 0.3840 0.6982 Ga
0.3083 0.9505 0.5899 Ga
0.3840 0.2266 0.1982 Ga
0.6160 0.7734 0.8018 Ga
0.6917 0.0495 0.4101 Ga
0.7734 0.6160 0.3018 Ga
0.9505 0.3083 0.0899 Ga
0.3700 0.6300 0.2500 Cu
0.6300 0.3700 0.7500 Cu
0.0099 0.9901 0.7500 Ni
0.9901 0.0099 0.2500 Ni

*b*
PBE Ga4CuNi, optimized geometry; magnetic moment = 0.000 μB/atom; space-group type = I4/mcm (140)
1.0
-3.0159 3.0159 5.0188
3.0159 -3.0159 5.0188
3.0159 3.0159 -5.0188
Ga Cu Ni
8 2 2
Direct
0.0252 0.5252 0.8194 Ga
0.2057 0.0252 0.5000 Ga
0.2943 0.7943 0.8194 Ga
0.4748 0.2943 0.5000 Ga
0.5252 0.7057 0.5000 Ga
0.7057 0.2057 0.1806 Ga
0.7943 0.9748 0.5000 Ga
0.9748 0.4748 0.1806 Ga
0.0000 0.0000 0.0000 Cu
0.5000 0.5000 0.0000 Cu
0.2500 0.2500 0.0000 Ni
0.7500 0.7500 0.0000 Ni

Name the least stable of them. *a*.

*a*
PBE GaCu2Ni8, optimized geometry; magnetic moment = 0.244 μB/atom; space-group type = C2/m (12)
1.0
3.2204 -6.2043 0.0000
3.2204 6.2043 0.0000
-2.7824 0.0000 3.2956
Ga Cu Ni
1 2 8
Direct
0.0000 0.0000 0.0000 Ga
0.3158 0.6842 0.5000 Cu
0.6842 0.3158 0.5000 Cu
0.1031 0.3788 0.7304 Ni
0.1923 0.8077 0.0000 Ni
0.3788 0.1031 0.7304 Ni
0.4561 0.4561 0.2128 Ni
0.5439 0.5439 0.7872 Ni
0.6212 0.8969 0.2696 Ni
0.8077 0.1923 0.0000 Ni
0.8969 0.6212 0.2696 Ni

*b*
PBE GaCu2Ni8, optimized geometry; magnetic moment = 0.274 μB/atom; space-group type = Cmmm (65)
1.0
3.6024 -4.7069 0.0000
3.6024 4.7069 0.0000
0.0000 0.0000 3.8738
Ga Cu Ni
1 2 8
Direct
0.0000 0.0000 0.0000 Ga
0.3778 0.6222 0.5000 Cu
0.6222 0.3778 0.5000 Cu
0.0344 0.3015 0.5000 Ni
0.2486 0.7514 0.0000 Ni
0.3015 0.0344 0.5000 Ni
0.3333 0.3333 0.0000 Ni
0.6667 0.6667 0.0000 Ni
0.6985 0.9656 0.5000 Ni
0.7514 0.2486 0.0000 Ni
0.9656 0.6985 0.5000 Ni

Name the least stable of them. *b*.

*a*
PBE GaCu2Ni6, optimized geometry; magnetic moment = 0.084 μB/atom; space-group type = P4_2/mnm (136)
1.0
7.4974 0.0000 0.0000
0.0000 7.4974 0.0000
0.0000 0.0000 3.6276
Ga Cu Ni
2 4 12
Direct
0.0000 0.0000 0.0000 Ga
0.5000 0.5000 0.5000 Ga
0.1734 0.1734 0.5000 Cu
0.3266 0.6734 0.0000 Cu
0.6734 0.3266 0.0000 Cu
0.8266 0.8266 0.5000 Cu
0.0039 0.3363 0.0000 Ni
0.1637 0.5039 0.5000 Ni
0.1638 0.8362 0.5000 Ni
0.3363 0.0039 0.0000 Ni
0.3362 0.3362 0.0000 Ni
0.4961 0.8363 0.5000 Ni
0.5039 0.1637 0.5000 Ni
0.6638 0.6638 0.0000 Ni
0.6637 0.9961 0.0000 Ni
0.8362 0.1638 0.5000 Ni
0.8363 0.4961 0.5000 Ni
0.9961 0.6637 0.0000 Ni

*b*
PBE GaCu2Ni6, optimized geometry; magnetic moment = 0.001 μB/atom; space-group type = P-31m (162)
1.0
6.9585 0.0000 0.0000
-3.4792 6.0262 0.0000
0.0000 0.0000 2.4773
Ga Cu Ni
1 2 6
Direct
0.0000 0.0000 0.0000 Ga
0.3333 0.6667 0.5000 Cu
0.6667 0.3333 0.5000 Cu
0.0000 0.3354 0.2196 Ni
0.0000 0.6646 0.7804 Ni
0.3354 0.0000 0.2196 Ni
0.3354 0.3354 0.7804 Ni
0.6646 0.0000 0.7804 Ni
0.6646 0.6646 0.2196 Ni

Name the least stable of them. *b*.

*a*
PBE PmGaCuNi, optimized geometry; magnetic moment = 0.000 μB/atom; space-group type = Cm (8)
1.0
3.6683 -2.1121 0.0000
3.6683 2.1121 0.0000
-2.4437 0.0000 4.7042
Pm Ga Cu Ni
1 1 1 1
Direct
0.0000 0.0000 0.0000 Pm
0.5139 0.5139 0.5413 Ga
0.7982 0.7982 0.3940 Cu
0.1986 0.1986 0.5950 Ni

*b*
PBE PmGaCuNi, optimized geometry; magnetic moment = 0.000 μB/atom; space-group type = F-43m (216)
1.0
0.0000 3.2506 3.2506
3.2506 0.0000 3.2506
3.2506 3.2506 0.0000
Pm Ga Cu Ni
1 1 1 1
Direct
0.0000 0.0000 0.0000 Pm
0.5000 0.5000 0.5000 Ga
0.7500 0.7500 0.7500 Cu
0.2500 0.2500 0.2500 Ni

Name the least stable of them. *b*.

*a*
PBE SmGaCuNi, optimized geometry; magnetic moment = 0.000 μB/atom; space-group type = Cm (8)
1.0
3.6654 -2.1102 0.0000
3.6654 2.1102 0.0000
-2.4411 0.0000 4.6630
Sm Ga Cu Ni
1 1 1 1
Direct
0.0000 0.0000 0.0000 Sm
0.4861 0.4861 0.4587 Ga
0.2025 0.2025 0.6081 Cu
0.8005 0.8005 0.4023 Ni

*b*
PBE SmGaCuNi, optimized geometry; magnetic moment = 0.000 μB/atom; space-group type = F-43m (216)
1.0
0.0000 3.2390 3.2390
3.2390 0.0000 3.2390
3.2390 3.2390 0.0000
Sm Ga Cu Ni
1 1 1 1
Direct
0.0000 0.0000 0.0000 Sm
0.5000 0.5000 0.5000 Ga
0.7500 0.7500 0.7500 Cu
0.2500 0.2500 0.2500 Ni

Name the least stable of them. *b*.

*a*
PBE GaCu2O, optimized geometry; magnetic moment = 0.000 μB/atom; space-group type = I-42d (122)
1.0
-2.7393 2.7393 3.9750
2.7393 -2.7393 3.9750
2.7393 2.7393 -3.9750
Ga Cu O
2 4 2
Direct
0.0000 0.0000 0.0000 Ga
0.7500 0.2500 0.5000 Ga
0.2083 0.6250 0.0833 Cu
0.3750 0.4583 0.5833 Cu
0.5417 0.1250 0.9167 Cu
0.8750 0.7917 0.4167 Cu
0.2500 0.7500 0.5000 O
0.5000 0.5000 0.0000 O

*b*
PBE GaCu2O, optimized geometry; magnetic moment = 0.000 μB/atom; space-group type = Fm-3m (225)
1.0
0.0000 2.8962 2.8962
2.8962 0.0000 2.8962
2.8962 2.8962 0.0000
Ga Cu O
1 2 1
Direct
0.0000 0.0000 0.0000 Ga
0.2500 0.2500 0.2500 Cu
0.7500 0.7500 0.7500 Cu
0.5000 0.5000 0.5000 O

Name the least stable of them. *b*.

*a*
PBE Ga2Cu2Os, optimized geometry; magnetic moment = 0.156 μB/atom; space-group type = P4/mbm (127)
1.0
6.9321 0.0000 0.0000
0.0000 6.9321 0.0000
0.0000 0.0000 2.8808
Ga Cu Os
4 4 2
Direct
0.1547 0.3453 0.0000 Ga
0.3453 0.8453 0.0000 Ga
0.6547 0.1547 0.0000 Ga
0.8453 0.6547 0.0000 Ga
0.1424 0.6424 0.5000 Cu
0.3576 0.1424 0.5000 Cu
0.6424 0.8576 0.5000 Cu
0.8576 0.3576 0.5000 Cu
0.0000 0.0000 0.0000 Os
0.5000 0.5000 0.0000 Os

*b*
PBE Ga2Cu2Os, optimized geometry; magnetic moment = 0.060 μB/atom; space-group type = P4/mbm (127)
1.0
7.0416 0.0000 0.0000
0.0000 7.0416 0.0000
0.0000 0.0000 2.7436
Ga Cu Os
4 4 2
Direct
0.1778 0.3222 0.0000 Ga
0.3222 0.8222 0.0000 Ga
0.6778 0.1778 0.0000 Ga
0.8222 0.6778 0.0000 Ga
0.1219 0.6219 0.5000 Cu
0.3781 0.1219 0.5000 Cu
0.6219 0.8781 0.5000 Cu
0.8781 0.3781 0.5000 Cu
0.0000 0.0000 0.5000 Os
0.5000 0.5000 0.5000 Os

Name the least stable of them. *b*.

*a*
PBE GaCu2P, optimized geometry; magnetic moment = 0.000 μB/atom; space-group type = I-42d (122)
1.0
-1.9953 1.9953 7.6897
1.9953 -1.9953 7.6897
1.9953 1.9953 -7.6897
Ga Cu P
2 4 2
Direct
0.0000 0.0000 0.0000 Ga
0.7500 0.2500 0.5000 Ga
0.1640 0.6250 0.0390 Cu
0.3750 0.4140 0.5390 Cu
0.5860 0.1250 0.9610 Cu
0.8750 0.8360 0.4610 Cu
0.2500 0.7500 0.5000 P
0.5000 0.5000 0.0000 P

*b*
PBE GaCu2P, optimized geometry; magnetic moment = 0.000 μB/atom; space-group type = Fm-3m (225)
1.0
0.0000 3.0505 3.0505
3.0505 0.0000 3.0505
3.0505 3.0505 0.0000
Ga Cu P
1 2 1
Direct
0.0000 0.0000 0.0000 Ga
0.2500 0.2500 0.2500 Cu
0.7500 0.7500 0.7500 Cu
0.5000 0.5000 0.5000 P

Name the least stable of them. *b*.

*a*
PBE GaCu3P, optimized geometry; magnetic moment = 0.000 μB/atom; space-group type = Pm-3m (221)
1.0
4.4007 0.0000 0.0000
0.0000 4.4007 0.0000
0.0000 0.0000 4.4007
Ga Cu P
1 3 1
Direct
0.0000 0.0000 0.0000 Ga
0.0000 0.5000 0.5000 Cu
0.5000 0.0000 0.5000 Cu
0.5000 0.5000 0.0000 Cu
0.5000 0.5000 0.5000 P

*b*
PBE GaCu3P, optimized geometry; magnetic moment = 0.000 μB/atom; space-group type = Pm-3m (221)
1.0
4.4612 0.0000 0.0000
0.0000 4.4612 0.0000
0.0000 0.0000 4.4612
Ga Cu P
1 3 1
Direct
0.0000 0.0000 0.0000 Ga
0.0000 0.0000 0.5000 Cu
0.0000 0.5000 0.0000 Cu
0.5000 0.0000 0.0000 Cu
0.5000 0.5000 0.5000 P

Name the least stable of them. *b*.

*a*
PBE Ga3CuP, optimized geometry; magnetic moment = 0.000 μB/atom; space-group type = Pm-3m (221)
1.0
4.6376 0.0000 0.0000
0.0000 4.6376 0.0000
0.0000 0.0000 4.6376
Ga Cu P
3 1 1
Direct
0.0000 0.0000 0.5000 Ga
0.0000 0.5000 0.0000 Ga
0.5000 0.0000 0.0000 Ga
0.0000 0.0000 0.0000 Cu
0.5000 0.5000 0.5000 P

*b*
PBE Ga3CuP, optimized geometry; magnetic moment = 0.000 μB/atom; space-group type = Pm-3m (221)
1.0
4.7878 0.0000 0.0000
0.0000 4.7878 0.0000
0.0000 0.0000 4.7878
Ga Cu P
3 1 1
Direct
0.0000 0.0000 0.5000 Ga
0.0000 0.5000 0.0000 Ga
0.5000 0.0000 0.0000 Ga
0.5000 0.5000 0.5000 Cu
0.0000 0.0000 0.0000 P

Name the least stable of them. *b*.

*a*
PBE PaGaCu4, optimized geometry; magnetic moment = 0.144 μB/atom; space-group type = F-43m (216)
1.0
0.0000 3.5916 3.5916
3.5916 0.0000 3.5916
3.5916 3.5916 0.0000
Pa Ga Cu
1 1 4
Direct
0.0000 0.0000 0.0000 Pa
0.2500 0.2500 0.2500 Ga
0.1266 0.6245 0.6245 Cu
0.6245 0.1266 0.6245 Cu
0.6245 0.6245 0.1266 Cu
0.6245 0.6245 0.6245 Cu

*b*
PBE PaGaCu4, optimized geometry; magnetic moment = 0.000 μB/atom; space-group type = Pmma (51)
1.0
6.3941 0.0000 0.0000
0.0000 4.1413 0.0000
0.0000 0.0000 7.1885
Pa Ga Cu
2 2 8
Direct
0.2500 0.0000 0.1349 Pa
0.7500 0.0000 0.8651 Pa
0.2500 0.0000 0.7389 Ga
0.7500 0.0000 0.2611 Ga
0.0000 0.0000 0.5000 Cu
0.0492 0.5000 0.8216 Cu
0.2500 0.5000 0.4485 Cu
0.4508 0.5000 0.8216 Cu
0.5000 0.0000 0.5000 Cu
0.5492 0.5000 0.1784 Cu
0.7500 0.5000 0.5515 Cu
0.9508 0.5000 0.1784 Cu

Name the least stable of them. *b*.